! VCd2GeO6 | Alexandria | PBE with a Hubbard U | optimized geometry; values from VASP
&SYSTEM
  ibrav = 0, nat = 10, ntyp = 4
/
ATOMIC_SPECIES
V 50.94 V.upf
Cd 112.41 Cd.upf
Ge 72.64 Ge.upf
O 16.00 O.upf
CELL_PARAMETERS angstrom
5.169 0.000 0.000
0.000 5.169 0.000
0.000 0.000 4.802
ATOMIC_POSITIONS crystal
V 0.000 0.000 0.000
Cd 0.000 0.500 0.437
Cd 0.500 0.000 0.437
Ge 0.500 0.500 0.014
O 0.000 0.000 0.642
O 0.253 0.253 0.134
O 0.253 0.747 0.134
O 0.500 0.500 0.644
O 0.747 0.253 0.134
O 0.747 0.747 0.134
! * DOS at the Fermi energy: 0.46 states/eV/f.u.
! * total DFT energy (no corrections): -57.35 eV per formula unit